(1)
Density functional theory data (PBE-GGA) for a relaxed structure of Pr2SmGa.

Results
space-group type	Fm-3m (225)
total magnetic moment	0.0	μB per formula unit
ΔH_f (0 K)	-75	meV/atom

Cell: 5.4980 5.4980 5.4980 Å, 60.00 60.00 60.00°
Fractional coordinates of all 4 atoms:
Pr (0.2500, 0.2500, 0.2500)
Pr (0.7500, 0.7500, 0.7500)
Ga (0.5000, 0.5000, 0.5000)
Sm (0.0000, 0.0000, 0.0000)

=====

(2)
Density functional theory data (PBE-GGA) for a relaxed structure of TiIn2RhS.

Results
formation energy from raw total energies	0.41	eV per atom
space-group type	P4/mmm (123)
total magnetic moment	2.3	μB per formula unit

Cell: 5.2356 4.4525 5.2356 Å, 90.00 90.00 90.00°
Each line ends with the local moment (μB).
Fractional coordinates of all 5 atoms:
S (0.0000, 0.5000, 0.0000)  0.00
Ti (0.5000, 0.5000, 0.5000)  1.73
Rh (0.0000, 0.0000, 0.0000)  0.08
In (0.0000, 0.0000, 0.5000)  0.00
In (0.5000, 0.0000, 0.0000)  0.00

=====

(3)
Density functional theory data (PBE-GGA) for a relaxed structure of Cs2NpAg2Cl6.

Results
formation energy from raw total energies	-1.31	eV per atom
space-group type	C2/m (12)
total magnetic moment	3.6	μB per formula unit

Cell: 8.4399 7.3318 8.6935 Å, 110.01 90.00 125.14°
Each line ends with the local moment (μB).
Fractional coordinates of all 11 atoms:
Cs (0.7156, 0.4313, 0.1428)  0.00
Cs (0.2844, 0.5687, 0.8572)  0.00
Np (0.5000, 0.0000, 0.5000)  3.59
Ag (0.9296, 0.8592, 0.8360)  0.01
Ag (0.0704, 0.1408, 0.1640)  0.01
Cl (0.7367, 0.4735, 0.5523)  -0.02
Cl (0.2402, 0.9107, 0.2545)  -0.02
Cl (0.3294, 0.0893, 0.7455)  -0.02
Cl (0.7598, 0.0893, 0.7455)  -0.02
Cl (0.6706, 0.9107, 0.2545)  -0.02
Cl (0.2633, 0.5265, 0.4477)  -0.02

=====

(4)
Density functional theory data (PBE-GGA) for a relaxed structure of NiGeAs4.

Results
space-group type	P2_1/c (14)
total magnetic moment	0.0	μB per formula unit
ΔH_f (0 K)	-72	meV/atom

Cell: 6.0539 6.0532 6.0612 Å, 90.00 90.09 90.00°
Fractional coordinates of all 12 atoms:
Ni (0.0000, 0.0000, 0.0000)
Ni (0.5000, 0.5000, 0.0000)
Ge (0.5000, 0.0000, 0.5000)
Ge (0.0000, 0.5000, 0.5000)
As (0.8724, 0.6305, 0.0985)
As (0.6276, 0.1305, 0.9015)
As (0.3942, 0.3944, 0.3622)
As (0.1058, 0.8944, 0.6378)
As (0.1276, 0.3695, 0.9015)
As (0.3724, 0.8695, 0.0985)
As (0.6058, 0.6056, 0.6378)
As (0.8942, 0.1056, 0.3622)